Sc2TlRh | PBE | relaxed

Calculated values
ΔE to the lowest computed polymorph   228.2 meV per atom
Crystal system   tetragonal
Space group   I-4m2
Total moment   0.000 μB/atom
Formation energy from the elements   -0.406 eV per atom
DOS at the Fermi energy   3.691 states/eV/cell

Lattice parameters (Å, degrees): 5.407 5.407 5.407 134.74 134.74 65.94
Fractional coordinates of all 4 atoms:
Rh  0.750  0.250  0.500
Sc  0.000  0.000  0.000
Sc  0.250  0.750  0.500
Tl  0.500  0.500  0.000